Below is crystalline LiNp2P3Ir4 at its relaxed geometry, with properties calculated at the PBE level.

Summary:
Magnetic moment, μB per formula unit: 7.04
Space-group type: P-4m2 (115)
VASP energy, eV/cell: -85.87

```
LiNp2P3Ir4
1.0
3.9374 0.0000 0.0000
0.0000 3.9374 0.0000
0.0000 0.0000 10.5079
Li Np P Ir
1 2 3 4
Direct
0.0000 0.0000 0.0000 Li
0.0000 0.5000 0.7526 Np
0.5000 0.0000 0.2474 Np
0.0000 0.5000 0.3688 P
0.5000 0.0000 0.6312 P
0.5000 0.5000 0.0000 P
0.0000 0.0000 0.5000 Ir
0.0000 0.5000 0.1505 Ir
0.5000 0.0000 0.8495 Ir
0.5000 0.5000 0.5000 Ir
```